Here is a relaxed structure of BeCo2Pb from Alexandria. Energies are from GGA-PBE.

## Properties
energy above the most stable polymorph in this dataset	283.3	meV/atom
mass density	8.69	g/cm³
formation enthalpy at 0 K	2.3	eV/f.u.
symmetry	I-42d (122)

a b c (Å): 4.002 4.002 8.460
angles (deg): 76.32 76.32 90.00
Each line ends with the local moment (μB).
Element x y z (fractional)
Be (0.250, 0.750, 0.500)  -0.05
Be (0.500, 0.500, 0.000)  -0.05
Pb (0.750, 0.250, 0.500)  -0.03
Pb (0.000, 0.000, 0.000)  -0.03
Co (0.254, 0.625, 0.250)  1.16
Co (0.875, 0.746, 0.750)  1.27
Co (0.375, 0.504, 0.750)  1.32
Co (0.496, 0.125, 0.250)  1.17